# 1
Below is crystalline LaTb2Ho4 at its relaxed geometry, with properties calculated at the PBE level. Values from VASP.

## Properties
Uncorrected energy: -31.6 eV per formula unit

The structure in Quantum ESPRESSO input format:
```
&SYSTEM
  ibrav = 0, nat = 14, ntyp = 3
/
ATOMIC_SPECIES
La 138.91 La.upf
Tb 158.93 Tb.upf
Ho 164.93 Ho.upf
ATOMIC_POSITIONS angstrom
La 0.746 4.951 1.469
La 2.737 1.650 9.541
Tb 3.685 4.951 -0.130
Tb -0.203 1.650 11.140
Tb 0.615 1.650 5.030
Tb 2.867 4.951 5.980
Ho 3.121 3.240 3.055
Ho 3.786 4.951 9.118
Ho -0.303 1.650 1.892
Ho 3.121 0.060 3.055
Ho 3.719 1.650 6.252
Ho 0.362 6.541 7.956
Ho 0.362 3.361 7.956
Ho -0.236 4.951 4.758
CELL_PARAMETERS angstrom
6.071 0.000 -0.393
0.000 6.601 0.000
-2.588 0.000 11.403
```

# 2
Below is crystalline Nb2Ir2Os at its relaxed geometry, with properties calculated at the PBE level. Values from VASP.

## Properties
Uncorrected energy: -50.8 eV per formula unit

The structure in Quantum ESPRESSO input format:
```
&SYSTEM
  ibrav = 0, nat = 5, ntyp = 3
/
ATOMIC_SPECIES
Nb 92.91 Nb.upf
Ir 192.22 Ir.upf
Os 190.23 Os.upf
ATOMIC_POSITIONS angstrom
Nb -1.055 -2.495 -0.046
Nb 3.506 -1.698 0.917
Ir 0.939 -1.940 1.779
Ir 1.512 -2.253 -0.907
Os 0.000 0.000 0.000
CELL_PARAMETERS angstrom
-3.853 -2.831 0.969
3.208 0.036 -3.676
3.097 -1.399 3.579
```

# 3
Below is crystalline TmGe4Rh2 at its relaxed geometry, with properties calculated at the PBE level. Values from VASP.

## Properties
Uncorrected energy: -42.0 eV per formula unit

The structure in Quantum ESPRESSO input format:
```
&SYSTEM
  ibrav = 0, nat = 28, ntyp = 3
/
ATOMIC_SPECIES
Ge 72.64 Ge.upf
Tm 168.93 Tm.upf
Rh 102.91 Rh.upf
ATOMIC_POSITIONS angstrom
Ge 3.460 -6.331 9.586
Ge -2.088 -6.115 4.469
Ge 1.399 -9.861 11.304
Ge -0.027 -2.585 2.751
Ge 2.450 -8.790 8.625
Ge -1.079 -3.656 5.430
Ge 2.768 -6.422 12.576
Ge -1.396 -6.024 1.479
Ge 2.649 -4.409 7.695
Ge -1.278 -8.037 6.360
Ge 2.817 -10.125 13.721
Ge -1.446 -2.321 0.334
Ge 1.188 -5.717 5.658
Ge 0.184 -6.729 8.397
Ge -4.350 -5.839 0.656
Ge 5.721 -6.607 13.399
Tm -0.277 -10.041 8.588
Tm 1.649 -2.405 5.467
Tm 4.153 -8.834 11.449
Tm -2.781 -3.612 2.606
Rh 1.233 -8.129 6.425
Rh 0.139 -4.317 7.630
Rh 3.698 -7.867 14.527
Rh -2.327 -4.579 -0.472
Rh 2.578 -11.265 9.548
Rh -1.207 -1.181 4.507
Rh 1.373 -7.404 10.555
Rh -0.001 -5.042 3.500
CELL_PARAMETERS angstrom
-3.561 0.620 2.156
-2.219 -6.055 -1.923
7.151 -7.011 13.822
```

# 4
Below is crystalline Cs2Tl3Zn at its relaxed geometry, with properties calculated at the PBE level. Values from VASP.

## Properties
Uncorrected energy: -10.1 eV per formula unit

The structure in Quantum ESPRESSO input format:
```
&SYSTEM
  ibrav = 0, nat = 12, ntyp = 3
/
ATOMIC_SPECIES
Cs 132.91 Cs.upf
Tl 204.38 Tl.upf
Zn 65.41 Zn.upf
ATOMIC_POSITIONS angstrom
Cs 0.039 5.223 1.990
Cs -0.039 5.229 5.984
Cs 4.103 2.546 0.026
Cs 4.024 2.552 4.020
Tl 6.098 0.009 5.992
Tl 2.028 0.003 1.997
Tl 4.041 5.986 6.011
Tl -0.022 1.795 3.994
Tl 4.086 5.980 2.016
Tl 0.022 1.789 -0.001
Zn 6.939 0.003 1.997
Zn 1.188 0.009 5.992
CELL_PARAMETERS angstrom
8.127 0.000 0.000
-4.063 7.764 -1.980
0.000 0.011 7.990
```

# 5
Below is crystalline ReBr at its relaxed geometry, with properties calculated at the PBE level. Values from VASP.

## Properties
Uncorrected energy: -13.0 eV per formula unit

The structure in Quantum ESPRESSO input format:
```
&SYSTEM
  ibrav = 0, nat = 4, ntyp = 2
/
ATOMIC_SPECIES
Re 186.21 Re.upf
Br 79.90 Br.upf
ATOMIC_POSITIONS angstrom
Re -1.629 3.511 -6.597
Re -2.900 2.702 -4.810
Br -0.082 0.177 -0.332
Br -0.773 3.299 -2.885
CELL_PARAMETERS angstrom
-0.203 5.621 -7.513
-3.675 2.737 -8.191
0.433 -2.848 8.932
```

# 6
Below is crystalline CeNi3As2 at its relaxed geometry, with properties calculated at the PBE level. Values from VASP.

## Properties
Uncorrected energy: -36.5 eV per formula unit

The structure in Quantum ESPRESSO input format:
```
&SYSTEM
  ibrav = 0, nat = 12, ntyp = 3
/
ATOMIC_SPECIES
Ce 140.12 Ce.upf
Ni 58.69 Ni.upf
As 74.92 As.upf
ATOMIC_POSITIONS angstrom
Ce 1.107 3.065 3.030
Ce 10.572 4.232 4.483
Ni 7.233 4.024 3.653
Ni 5.897 2.618 1.673
Ni 3.736 4.463 1.766
Ni 7.943 2.833 5.746
Ni 5.782 4.678 5.840
Ni 4.446 3.272 3.859
As 6.043 4.916 1.858
As 5.635 2.380 5.654
As 7.995 5.407 5.472
As 3.683 1.889 2.040
CELL_PARAMETERS angstrom
-0.724 3.257 2.099
5.452 0.033 5.532
6.951 4.006 -0.118
```